# 1
Below is a relaxed NaTl2IrBr6 crystal, with properties calculated at the PBE level.

* total energy: -3.189 eV per atom
* formation energy without anion corrections: -0.694 eV/atom

a = 7.441 Å, b = 10.825 Å, c = 8.024 Å
α = 90.00°, β = 90.00°, γ = 90.00°
Space group Pmmn (No. 59, origin choice 2)
Unique sites:
Na  0.250  0.250  0.211 [2 per cell]
Tl  0.250  0.038  0.707 [4 per cell]
Ir  0.250  0.750  0.278 [2 per cell]
Br  0.009  0.750  0.060 [4 per cell]
Br  0.010  0.750  0.498 [4 per cell]
Br  0.250  0.518  0.283 [4 per cell]


# 2
Below is a relaxed NbIr2Br crystal, with properties calculated at the PBE level.

* total energy: -6.639 eV per atom
* formation energy without anion corrections: 0.727 eV/atom

a = 6.204 Å, b = 6.204 Å, c = 9.711 Å
α = 90.00°, β = 90.00°, γ = 90.00°
Space group I-42d (No. 122)
Unique sites:
Nb  0.000  0.000  0.000 [4 per cell]
Ir  0.244  0.250  0.125 [8 per cell]
Br  0.000  0.000  0.500 [4 per cell]


# 3
Below is a relaxed Nb3IrBr crystal, with properties calculated at the PBE level.

* total energy: -7.120 eV per atom
* formation energy without anion corrections: 1.029 eV/atom

a = 4.942 Å, b = 4.942 Å, c = 4.942 Å
α = 90.00°, β = 90.00°, γ = 90.00°
Space group Pm-3m (No. 221)
Unique sites:
Nb  0.000  0.000  0.500 [3 per cell]
Ir  0.000  0.000  0.000 [1 per cell]
Br  0.500  0.500  0.500 [1 per cell]


# 4
Below is a relaxed NbIr2Br crystal, with properties calculated at the PBE level.

* total energy: -6.632 eV per atom
* formation energy without anion corrections: 0.734 eV/atom

a = 6.506 Å, b = 6.506 Å, c = 6.506 Å
α = 90.00°, β = 90.00°, γ = 90.00°
Space group Fm-3m (No. 225)
Unique sites:
Nb  0.000  0.000  0.000 [4 per cell]
Ir  0.250  0.250  0.250 [8 per cell]
Br  0.000  0.000  0.500 [4 per cell]


# 5
Below is a relaxed NbIrBr3 crystal, with properties calculated at the PBE level.

* total energy: -3.903 eV per atom
* formation energy without anion corrections: 0.887 eV/atom

a = 5.064 Å, b = 5.064 Å, c = 5.064 Å
α = 90.00°, β = 90.00°, γ = 90.00°
Space group Pm-3m (No. 221)
Unique sites:
Nb  0.000  0.000  0.000 [1 per cell]
Ir  0.500  0.500  0.500 [1 per cell]
Br  0.000  0.500  0.500 [3 per cell]


# 6
Below is a relaxed Nb3IrBr crystal, with properties calculated at the PBE level.

* total energy: -6.850 eV per atom
* formation energy without anion corrections: 1.299 eV/atom

a = 4.659 Å, b = 4.659 Å, c = 4.659 Å
α = 90.00°, β = 90.00°, γ = 90.00°
Space group Pm-3m (No. 221)
Unique sites:
Nb  0.000  0.000  0.500 [3 per cell]
Ir  0.500  0.500  0.500 [1 per cell]
Br  0.000  0.000  0.000 [1 per cell]


# 7
Below is a relaxed Nb2IrPdBr crystal, with properties calculated at the PBE level.

* total energy: -6.258 eV per atom
* formation energy without anion corrections: 0.916 eV/atom

a = 4.857 Å, b = 4.857 Å, c = 5.020 Å
α = 90.00°, β = 90.00°, γ = 90.00°
Space group P4/mmm (No. 123)
Unique sites:
Nb  0.000  0.500  0.000 [2 per cell]
Ir  0.000  0.000  0.000 [1 per cell]
Pd  0.000  0.000  0.500 [1 per cell]
Br  0.500  0.500  0.500 [1 per cell]


# 8
Below is a relaxed NbIrPdBr2 crystal, with properties calculated at the PBE level.

* total energy: -4.127 eV per atom
* formation energy without anion corrections: 1.367 eV/atom

a = 4.735 Å, b = 4.735 Å, c = 5.205 Å
α = 90.00°, β = 90.00°, γ = 90.00°
Space group P4/mmm (No. 123)
Unique sites:
Nb  0.000  0.000  0.000 [1 per cell]
Ir  0.500  0.500  0.000 [1 per cell]
Pd  0.500  0.500  0.500 [1 per cell]
Br  0.000  0.500  0.500 [2 per cell]


# 9
Below is a relaxed Rb2NbIrBr6 crystal, with properties calculated at the PBE level.

* total energy: -3.774 eV per atom
* formation energy without anion corrections: -0.684 eV/atom

a = 7.574 Å, b = 7.574 Å, c = 10.764 Å
α = 90.00°, β = 90.00°, γ = 90.00°
Space group I4/mmm (No. 139)
Unique sites:
Rb  0.000  0.500  0.250 [4 per cell]
Nb  0.000  0.000  0.000 [2 per cell]
Ir  0.000  0.000  0.500 [2 per cell]
Br  0.000  0.000  0.251 [4 per cell]
Br  0.248  0.248  0.500 [8 per cell]


# 10
Below is a relaxed NbSb2IrBr crystal, with properties calculated at the PBE level.

* total energy: -5.016 eV per atom
* formation energy without anion corrections: 0.753 eV/atom

a = 5.436 Å, b = 5.436 Å, c = 4.765 Å
α = 90.00°, β = 90.00°, γ = 90.00°
Space group P4/mmm (No. 123)
Unique sites:
Nb  0.000  0.000  0.000 [1 per cell]
Sb  0.000  0.500  0.000 [2 per cell]
Ir  0.000  0.000  0.500 [1 per cell]
Br  0.500  0.500  0.500 [1 per cell]


# 11
Below is a relaxed NbSnIrBr2 crystal, with properties calculated at the PBE level.

* total energy: -3.967 eV per atom
* formation energy without anion corrections: 1.289 eV/atom

a = 5.482 Å, b = 5.482 Å, c = 5.118 Å
α = 90.00°, β = 90.00°, γ = 90.00°
Space group P4/mmm (No. 123)
Unique sites:
Nb  0.000  0.000  0.000 [1 per cell]
Sn  0.500  0.500  0.500 [1 per cell]
Ir  0.500  0.500  0.000 [1 per cell]
Br  0.000  0.500  0.500 [2 per cell]


# 12
Below is a relaxed TaNbIrBr2 crystal, with properties calculated at the PBE level.

* total energy: -5.263 eV per atom
* formation energy without anion corrections: 1.563 eV/atom

a = 4.756 Å, b = 4.756 Å, c = 5.558 Å
α = 90.00°, β = 90.00°, γ = 90.00°
Space group P4/mmm (No. 123)
Unique sites:
Ta  0.000  0.000  0.000 [1 per cell]
Nb  0.000  0.000  0.500 [1 per cell]
Ir  0.500  0.500  0.500 [1 per cell]
Br  0.000  0.500  0.000 [2 per cell]